# TaHO2 (PBE, optimized geometry)
data_TaHO2
_cell_length_a 6.133
_cell_length_b 6.133
_cell_length_c 8.692
_cell_angle_alpha 90.00
_cell_angle_beta 90.00
_cell_angle_gamma 90.00
_symmetry_space_group_name_H-M 'I 41/a m d'
_symmetry_Int_Tables_number 141
loop_
_symmetry_equiv_pos_as_xyz
'x,y,z'
'-x,-y,-z'
'-y+1/4,x+3/4,z+1/4'
'y+1/4,-x+3/4,-z+1/4'
'-x+1/2,-y,z+1/2'
'x+1/2,y,-z+1/2'
'y+1/4,-x+1/4,z+3/4'
'-y+1/4,x+1/4,-z+3/4'
'x,-y,-z'
'-x,y,z'
'-y+1/4,-x+1/4,-z+3/4'
'y+1/4,x+1/4,z+3/4'
'-x+1/2,y,-z+1/2'
'x+1/2,-y,z+1/2'
'y+1/4,x+3/4,-z+1/4'
'-y+1/4,-x+3/4,z+1/4'
'x+1/2,y+1/2,z+1/2'
'-x+1/2,-y+1/2,-z+1/2'
'-y+3/4,x+1/4,z+3/4'
'y+3/4,-x+1/4,-z+3/4'
'-x,-y+1/2,z'
'x,y+1/2,-z'
'y+3/4,-x+3/4,z+1/4'
'-y+3/4,x+3/4,-z+1/4'
'x+1/2,-y+1/2,-z+1/2'
'-x+1/2,y+1/2,z+1/2'
'-y+3/4,-x+3/4,-z+1/4'
'y+3/4,x+3/4,z+1/4'
'-x,y+1/2,-z'
'x,-y+1/2,z'
'y+3/4,x+1/4,-z+3/4'
'-y+3/4,-x+1/4,z+3/4'
loop_
_atom_site_label
_atom_site_fract_x
_atom_site_fract_y
_atom_site_fract_z
_atom_site_occupancy
Ta1 0.000 0.250 0.375 1
H1 0.000 0.250 0.875 1
O1 0.000 0.000 0.500 1
# Uncorrected energy, eV/atom: -7.56
# Crystal system: tetragonal